# 1
Crystalline Ca2H3N2 at its relaxed geometry. Source: Alexandria, functional GGA-PBE.

Lattice parameters (Å, degrees): 3.704 3.706 9.549 51.44 109.03 95.29
Element x y z (fractional)
1 Ca 0.453 0.362 0.221
2 Ca 0.562 0.572 0.840
3 H 0.969 0.280 0.703
4 H 0.036 0.021 0.931
5 H 0.993 0.752 0.304
6 N 0.128 0.003 0.844
7 N 0.859 0.009 0.157

Summary:
space group = P1
relative energy among the computed polymorphs = 0 meV per atom

# 2
Crystalline Pr8SiSe6 at its relaxed geometry. Source: Alexandria, functional GGA-PBE.

Lattice parameters (Å, degrees): 4.296 10.781 10.781 120.00 90.00 90.00
Element x y z (fractional)
1 Pr 0.744 0.968 0.277
2 Pr 0.744 0.723 0.691
3 Pr 0.744 0.309 0.032
4 Pr 0.256 0.032 0.723
5 Pr 0.256 0.277 0.309
6 Pr 0.256 0.691 0.968
7 Pr 0.749 0.333 0.667
8 Pr 0.251 0.667 0.333
9 Si 0.500 0.000 0.000
10 Se 0.750 0.647 0.128
11 Se 0.750 0.872 0.519
12 Se 0.750 0.481 0.353
13 Se 0.250 0.353 0.872
14 Se 0.250 0.128 0.481
15 Se 0.250 0.519 0.647

Summary:
space group = P-3
formation energy without anion corrections = -1.324 eV per atom

# 3
Crystalline NiHg2N2 at its relaxed geometry. Source: Alexandria, functional GGA-PBE.

Lattice parameters (Å, degrees): 2.896 2.896 8.401 80.08 80.08 90.00
Element x y z (fractional)
1 Ni 0.000 0.000 0.000
2 Hg 0.388 0.388 0.224
3 Hg 0.612 0.612 0.776
4 N 0.750 0.250 0.500
5 N 0.250 0.750 0.500

Summary:
space group = I4/mmm
relative energy among the computed polymorphs = 1125 meV per atom
formation energy without anion corrections = 1.563 eV per atom

# 4
Crystalline YAlTc2 at its relaxed geometry. Source: Alexandria, functional GGA-PBE.

Lattice parameters (Å, degrees): 5.528 5.528 4.623 65.27 65.27 33.86
Element x y z (fractional)
1 Y 0.490 0.490 0.510
2 Tc 0.012 0.012 0.987
3 Tc 0.726 0.726 0.775
4 Al 0.273 0.273 0.228

Summary:
ΔH_f (0 K) = -59 meV per atom
space group = Imm2

| no. | electronic total energy (eV/cell) | spin magnetization (μB/atom) |
| --- | --- | --- |
| 1 | -34.75 | 0.0000 |
| 2 | -84.42 | 0.0000 |
| 3 | -15.22 | 0.0000 |
| 4 | -31.18 | 0.0008 |